Density functional theory data (PBE) for a relaxed AcPm7Er12 crystal.

Geometry as extended XYZ:
```
20
Lattice="-5.646 5.646 5.646 5.646 -5.646 5.646 5.646 5.646 -5.646" Properties=species:S:1:pos:R:3 pbc="T T T"
Ac 0.000 0.000 0.000
Pm 2.823 2.823 -2.823
Pm 2.823 -2.823 2.823
Pm 5.646 0.000 0.000
Pm -2.823 2.823 2.823
Pm 0.000 5.646 0.000
Pm 0.000 0.000 5.646
Pm 2.823 2.823 2.823
Er 5.646 2.761 -2.761
Er 5.646 -2.761 2.761
Er 2.761 5.646 -2.761
Er 2.886 2.886 0.000
Er 2.886 0.000 2.886
Er 2.761 -2.761 5.646
Er 5.646 2.761 2.761
Er 0.000 2.886 2.886
Er -2.761 5.646 2.761
Er -2.761 2.761 5.646
Er 2.761 5.646 2.761
Er 2.761 2.761 5.646
```

Calculated values
The space-group type is No. 229. The formation energy comes out at 0.630 eV/atom.

Density functional theory data (PBE) for a relaxed Ho2ErTe5 crystal.

Geometry as extended XYZ:
```
16
Lattice="3.057 -7.401 0.000 3.057 7.401 0.000 0.000 0.000 13.433" Properties=species:S:1:pos:R:3 pbc="T T T"
Ho 3.057 5.015 7.518
Ho 3.057 5.015 12.632
Ho 3.057 -5.015 0.801
Ho 3.057 -5.015 5.915
Er 3.057 4.396 3.358
Er 3.057 -4.396 10.075
Te 3.057 6.906 1.666
Te 3.057 6.906 5.050
Te 3.057 3.351 10.075
Te 3.057 2.533 0.967
Te 3.057 2.533 5.749
Te 3.057 -2.533 7.684
Te 3.057 -2.533 12.466
Te 3.057 -3.351 3.358
Te 3.057 -6.906 8.383
Te 3.057 -6.906 11.767
```

Calculated values
The space-group type is No. 63. The formation energy (no corrections) is -27.6 kcal/mol of atoms.

Density functional theory data (PBE) for a relaxed Sc2Ti2Br crystal.

Geometry as extended XYZ:
```
5
Lattice="-2.045 2.045 6.830 2.045 -2.045 6.830 2.045 2.045 -6.830" Properties=species:S:1:pos:R:3 pbc="T T T"
Sc 2.045 0.000 3.415
Sc 0.000 2.045 3.415
Ti 0.000 0.000 1.079
Ti 0.000 0.000 12.580
Br 0.000 0.000 6.830
```

Calculated values
The space-group type is No. 139. The formation energy (no corrections) is 16.3 kcal/mol of atoms. The energy above the most stable polymorph in this dataset is 0.611 eV/atom.

Density functional theory data (PBE) for a relaxed SrPr2Rh2 crystal.

Geometry as extended XYZ:
```
10
Lattice="8.088 -2.012 0.000 8.088 2.012 0.000 -5.896 0.000 9.230" Properties=species:S:1:pos:R:3 pbc="T T T"
Sr 0.269 0.000 2.688
Sr 10.011 0.000 6.542
Pr -1.770 0.000 5.917
Pr 5.717 0.000 0.436
Pr 4.564 0.000 8.794
Pr 12.051 0.000 3.313
Rh 3.026 0.000 1.452
Rh 4.200 0.000 5.818
Rh 6.080 0.000 3.412
Rh 7.255 0.000 7.778
```

Calculated values
The space-group type is No. 12. The formation energy comes out at -0.442 eV/atom. The energy above the most stable polymorph in this dataset is 0.000 eV/atom.

Density functional theory data (PBE) for a relaxed Pa3Tl crystal.

Geometry as extended XYZ:
```
4
Lattice="3.249 0.000 0.000 0.000 5.518 0.000 0.000 0.000 5.638" Properties=species:S:1:pos:R:3 pbc="T T T"
Pa 0.000 0.000 0.000
Pa 0.000 2.759 2.424
Pa 1.624 0.000 2.828
Tl 1.624 2.759 5.184
```

Calculated values
The space-group type is No. 25. The formation energy comes out at 0.081 eV/atom. The energy above the most stable polymorph in this dataset is 0.000 eV/atom.

Density functional theory data (PBE) for a relaxed Sm8Dy6Sc crystal.

Geometry as extended XYZ:
```
15
Lattice="4.892 2.824 5.886 -4.892 2.824 5.886 0.000 -5.649 5.886" Properties=species:S:1:pos:R:3 pbc="T T T"
Sm 0.000 0.000 1.580
Sm -2.043 0.492 5.811
Sm 0.595 -2.015 5.811
Sm -1.448 -1.523 11.848
Sm 1.448 1.523 5.811
Sm -0.595 2.015 11.848
Sm 2.043 -0.492 11.848
Sm 0.000 0.000 16.079
Dy -3.260 -0.664 8.654
Dy -1.055 -3.155 9.004
Dy -2.205 2.491 9.004
Dy 2.205 -2.491 8.654
Dy 1.055 3.155 8.654
Dy 3.260 0.664 9.004
Sc 0.000 0.000 8.829
```

Calculated values
The space-group type is No. 148. The formation energy comes out at 0.184 eV/atom. The energy above the most stable polymorph in this dataset is 0.032 eV/atom.

Density functional theory data (PBE) for a relaxed HfI2O8 crystal.

Geometry as extended XYZ:
```
11
Lattice="4.430 -3.451 0.000 4.430 3.451 0.000 -1.241 0.000 4.883" Properties=species:S:1:pos:R:3 pbc="T T T"
Hf 0.000 0.000 0.000
I 1.933 0.000 2.711
I 5.685 0.000 2.172
O 2.339 2.198 3.384
O 0.607 0.000 3.969
O 5.280 2.198 1.499
O 4.188 0.000 0.671
O 3.430 0.000 4.212
O 2.339 -2.198 3.384
O 7.012 0.000 0.914
O 5.280 -2.198 1.499
```

Calculated values
The space-group type is No. 12. The formation energy (no corrections) is -20.6 kcal/mol of atoms. The energy above the most stable polymorph in this dataset is 0.000 eV/atom.

Density functional theory data (PBE) for a relaxed La3Al2HgPd9 crystal.

Geometry as extended XYZ:
```
15
Lattice="5.791 0.000 0.000 -2.895 5.015 0.000 0.000 0.000 11.829" Properties=species:S:1:pos:R:3 pbc="T T T"
La 0.000 0.000 0.000
La 0.000 3.343 8.752
La 2.895 1.672 3.077
Al 0.000 3.343 1.878
Al 2.895 1.672 9.951
Hg 0.000 0.000 5.914
Pd -1.448 2.507 0.000
Pd 0.000 1.624 3.613
Pd -1.489 4.203 3.613
Pd 1.406 0.812 8.216
Pd 2.895 0.000 0.000
Pd 1.448 2.507 0.000
Pd 1.489 4.203 3.613
Pd 4.384 0.812 8.216
Pd 2.895 3.391 8.216
```

Calculated values
The space-group type is No. 164. The formation energy comes out at -0.641 eV/atom.

Density functional theory data (PBE) for a relaxed Na2InSb2 crystal.

Geometry as extended XYZ:
```
10
Lattice="9.454 0.000 0.000 0.000 9.454 0.000 0.000 0.000 3.175" Properties=species:S:1:pos:R:3 pbc="T T T"
Na 1.143 3.584 0.000
Na 3.584 8.311 0.000
Na 5.870 1.143 0.000
Na 8.311 5.870 0.000
In 0.000 0.000 0.000
In 4.727 4.727 0.000
Sb 1.671 6.398 1.587
Sb 3.056 1.671 1.587
Sb 6.398 7.783 1.587
Sb 7.783 3.056 1.587
```

Calculated values
The space-group type is No. 127. The formation energy (no corrections) is -3.4 kcal/mol of atoms. The energy above the most stable polymorph in this dataset is 0.135 eV/atom.

Density functional theory data (PBE) for a relaxed Na3UTi3Se8 crystal.

Geometry as extended XYZ:
```
15
Lattice="3.800 2.194 7.090 -3.800 2.194 7.090 0.000 -4.388 7.090" Properties=species:S:1:pos:R:3 pbc="T T T"
Na -1.900 -1.097 7.090
Na -1.900 1.097 14.179
Na 0.000 2.194 7.090
U 0.000 0.000 10.634
Ti -3.800 0.000 10.634
Ti -1.900 1.097 3.545
Ti 1.900 1.097 3.545
Se -2.017 -1.165 12.194
Se 0.000 0.000 5.038
Se 0.000 -2.329 9.075
Se -2.017 1.165 9.075
Se 2.017 -1.165 12.194
Se 0.000 2.329 12.194
Se 0.000 0.000 16.231
Se 2.017 1.165 9.075
```

Calculated values
The space-group type is No. 166. The formation energy (no corrections) is -27.2 kcal/mol of atoms.

Density functional theory data (PBE) for a relaxed HgRu crystal.

Geometry as extended XYZ:
```
4
Lattice="4.874 0.000 0.000 0.000 2.908 0.000 -2.289 0.000 5.118" Properties=species:S:1:pos:R:3 pbc="T T T"
Hg -0.341 0.727 1.396
Hg 2.927 2.181 3.722
Ru 0.522 0.727 4.126
Ru 2.064 2.181 0.992
```

Calculated values
The space-group type is No. 11. The formation energy comes out at 0.620 eV/atom.

Density functional theory data (PBE) for a relaxed PmY2ScTe4 crystal.

Geometry as extended XYZ:
```
8
Lattice="7.522 0.000 0.000 0.000 4.310 0.000 -2.472 0.000 7.177" Properties=species:S:1:pos:R:3 pbc="T T T"
Pm 0.000 0.000 0.000
Y 2.525 0.000 3.589
Y 3.761 2.155 0.000
Sc -1.236 2.155 3.589
Te 0.004 0.000 5.290
Te 1.240 2.155 1.871
Te 3.810 2.155 5.306
Te 5.046 0.000 1.887
```

Calculated values
The space-group type is No. 10. The formation energy (no corrections) is -29.2 kcal/mol of atoms.

Density functional theory data (PBE) for a relaxed TlCd2AgF8 crystal.

Geometry as extended XYZ:
```
12
Lattice="3.984 0.000 0.000 0.000 5.535 0.000 0.000 0.000 7.819" Properties=species:S:1:pos:R:3 pbc="T T T"
Tl 0.000 0.000 0.000
Cd 1.992 2.768 2.028
Cd 1.992 2.768 5.791
Ag 0.000 0.000 3.909
F 0.000 1.431 1.753
F 0.000 1.431 6.065
F 0.000 4.104 1.753
F 0.000 4.104 6.065
F 1.992 1.342 0.000
F 1.992 1.447 3.909
F 1.992 4.089 3.909
F 1.992 4.194 0.000
```

Calculated values
The space-group type is No. 47. The formation energy (no corrections) is -42.7 kcal/mol of atoms.

Density functional theory data (PBE) for a relaxed Pr3TmAu4 crystal.

Geometry as extended XYZ:
```
8
Lattice="3.673 0.000 0.000 0.000 3.673 0.000 0.000 0.000 14.952" Properties=species:S:1:pos:R:3 pbc="T T T"
Pr 0.000 0.000 0.000
Pr 0.000 0.000 3.825
Pr 0.000 0.000 11.127
Tm 0.000 0.000 7.476
Au 1.836 1.836 1.890
Au 1.836 1.836 5.852
Au 1.836 1.836 9.100
Au 1.836 1.836 13.062
```

Calculated values
The space-group type is No. 123. The formation energy comes out at -0.780 eV/atom.

Density functional theory data (PBE) for a relaxed ScC2S2 crystal.

Geometry as extended XYZ:
```
5
Lattice="-2.545 2.545 2.818 2.545 -2.545 2.818 2.545 2.545 -2.818" Properties=species:S:1:pos:R:3 pbc="T T T"
Sc 0.000 0.000 0.000
C 0.000 0.000 2.166
C 0.000 0.000 3.470
S 2.545 0.000 1.409
S 0.000 2.545 1.409
```

Calculated values
The space-group type is No. 139. The formation energy (no corrections) is 12.4 kcal/mol of atoms. The energy above the most stable polymorph in this dataset is 0.000 eV/atom.

Density functional theory data (PBE) for a relaxed P4C23 crystal.

Geometry as extended XYZ:
```
54
Lattice="7.311 0.000 0.000 0.000 7.311 0.000 0.000 0.000 7.311" Properties=species:S:1:pos:R:3 pbc="T T T"
P 0.000 0.000 0.000
P 0.000 1.828 3.656
P 0.000 5.483 3.656
P 1.828 3.656 0.000
P 3.656 0.000 1.828
P 3.656 0.000 5.483
P 3.656 3.656 3.656
P 5.483 3.656 0.000
C 0.000 1.918 1.764
C 0.000 1.918 5.548
C 0.000 3.656 1.828
C 0.000 3.656 5.483
C 0.000 5.393 1.764
C 0.000 5.393 5.548
C 1.339 1.339 1.339
C 1.339 1.339 5.972
C 1.339 5.972 1.339
C 1.339 5.972 5.972
C 1.738 3.656 1.892
C 1.738 3.656 5.419
C 1.764 0.000 1.918
C 1.764 0.000 5.393
C 1.828 0.000 3.656
C 1.892 1.738 3.656
C 1.892 5.573 3.656
C 1.918 1.764 0.000
C 1.918 5.548 0.000
C 2.317 2.317 2.317
C 2.317 2.317 4.994
C 2.317 4.994 2.317
C 2.317 4.994 4.994
C 3.656 1.828 0.000
C 3.656 1.892 1.738
C 3.656 1.892 5.573
C 3.656 5.419 1.738
C 3.656 5.419 5.573
C 3.656 5.483 0.000
C 4.994 2.317 2.317
C 4.994 2.317 4.994
C 4.994 4.994 2.317
C 4.994 4.994 4.994
C 5.393 1.764 0.000
C 5.393 5.548 0.000
C 5.419 1.738 3.656
C 5.419 5.573 3.656
C 5.483 0.000 3.656
C 5.548 0.000 1.918
C 5.548 0.000 5.393
C 5.573 3.656 1.892
C 5.573 3.656 5.419
C 5.972 1.339 1.339
C 5.972 1.339 5.972
C 5.972 5.972 1.339
C 5.972 5.972 5.972
```

Calculated values
The space-group type is No. 223. The formation energy comes out at 1.237 eV/atom.

Density functional theory data (PBE) for a relaxed YFeReSi2 crystal.

Geometry as extended XYZ:
```
5
Lattice="-1.999 1.999 5.130 1.999 -1.999 5.130 1.999 1.999 -5.130" Properties=species:S:1:pos:R:3 pbc="T T T"
Y 0.000 0.000 0.000
Fe 0.000 1.999 2.565
Re 1.999 0.000 2.565
Si 0.000 0.000 3.892
Si 0.000 0.000 6.369
```

Calculated values
The space-group type is No. 119. The formation energy (no corrections) is -12.8 kcal/mol of atoms.

Density functional theory data (PBE) for a relaxed ScWS2Cl crystal.

Geometry as extended XYZ:
```
5
Lattice="4.654 0.000 0.000 0.000 4.654 0.000 0.000 0.000 4.941" Properties=species:S:1:pos:R:3 pbc="T T T"
Sc 0.000 0.000 0.000
W 2.327 2.327 2.470
S 0.000 2.327 2.470
S 2.327 0.000 2.470
Cl 2.327 2.327 0.000
```

Calculated values
The space-group type is No. 123. The formation energy (no corrections) is -3.3 kcal/mol of atoms. The energy above the most stable polymorph in this dataset is 0.000 eV/atom.

Density functional theory data (PBE) for a relaxed CrTc2SnI crystal.

Geometry as extended XYZ:
```
5
Lattice="4.648 0.000 0.000 0.000 4.648 0.000 0.000 0.000 4.997" Properties=species:S:1:pos:R:3 pbc="T T T"
Cr 0.000 0.000 0.000
Tc 0.000 2.324 0.000
Tc 2.324 0.000 0.000
Sn 2.324 2.324 2.498
I 0.000 0.000 2.498
```

Calculated values
The space-group type is No. 123. The formation energy (no corrections) is 30.6 kcal/mol of atoms.

Density functional theory data (PBE) for a relaxed Pm3ScTl4S8 crystal.

Geometry as extended XYZ:
```
16
Lattice="4.068 2.349 7.499 -4.068 2.349 7.499 0.000 -4.697 7.499" Properties=species:S:1:pos:R:3 pbc="T T T"
Pm -2.034 -1.174 7.499
Pm -2.034 1.174 14.999
Pm 0.000 2.349 7.499
Sc 0.000 0.000 0.000
Tl -4.068 0.000 11.249
Tl -2.034 1.174 3.750
Tl 2.034 1.174 3.750
Tl 0.000 0.000 11.249
S 0.000 -2.471 8.977
S -2.140 1.236 8.977
S -2.140 -1.236 13.521
S 0.000 0.000 5.958
S 0.000 0.000 16.539
S 2.140 1.236 8.977
S 2.140 -1.236 13.521
S 0.000 2.471 13.521
```

Calculated values
The space-group type is No. 166. The formation energy (no corrections) is -32.9 kcal/mol of atoms.

Density functional theory data (PBE) for a relaxed CoHg2Cl crystal.

Geometry as extended XYZ:
```
4
Lattice="2.186 -6.652 0.000 2.186 6.652 0.000 0.000 0.000 3.302" Properties=species:S:1:pos:R:3 pbc="T T T"
Co 0.000 0.000 0.000
Hg 2.186 4.406 1.651
Hg 2.186 -4.406 1.651
Cl 2.186 0.000 0.000
```

Calculated values
The space-group type is No. 65. The formation energy (no corrections) is 1.4 kcal/mol of atoms. The energy above the most stable polymorph in this dataset is 0.082 eV/atom.